A plane-wave DFT calculation with PBE was carried out for a relaxed MgOs2Se crystal.

a b c (Å): 4.3535 4.3535 3.1285
angles (deg): 90.00 90.00 90.00
Space group P4/mmm (No. 123)
Symmetry-distinct sites (fractional):
Mg: 0.0000 0.0000 0.0000
Os: 0.0000 0.5000 0.5000
Se: 0.5000 0.5000 0.0000

## Properties
Crystal system: tetragonal
Magnetization in μB/atom: 0.00
E_form (uncorrected) in kJ/mol of atoms: 55.3
Polymorph energy (0 for the lowest one) in eV per atom: 0.4298

=====

A plane-wave DFT calculation with PBE was carried out for a relaxed Nb3TlAg crystal.

a b c (Å): 4.9481 4.9481 4.9481
angles (deg): 90.00 90.00 90.00
Space group Pm-3m (No. 221)
Symmetry-distinct sites (fractional):
Nb: 0.0000 0.0000 0.5000
Tl: 0.5000 0.5000 0.5000
Ag: 0.0000 0.0000 0.0000

## Properties
Crystal system: cubic
Magnetization in μB/atom: 0.00
Polymorph energy (0 for the lowest one) in eV per atom: 0.0000
Energy of formation in kJ/mol of atoms: 155.97

=====

A plane-wave DFT calculation with PBE was carried out for a relaxed AlGeI3 crystal.

a b c (Å): 5.8380 5.8380 5.8380
angles (deg): 90.00 90.00 90.00
Space group Pm-3m (No. 221)
Symmetry-distinct sites (fractional):
Al: 0.0000 0.0000 0.0000
Ge: 0.5000 0.5000 0.5000
I: 0.0000 0.5000 0.5000

## Properties
Crystal system: cubic
Magnetization in μB/atom: 0.00
E_form (uncorrected) in kJ/mol of atoms: 0.3
Polymorph energy (0 for the lowest one) in eV per atom: 0.0000

=====

A plane-wave DFT calculation with PBE was carried out for a relaxed Sm4ThTe5 crystal.

a b c (Å): 4.4050 6.2962 22.4716
angles (deg): 90.00 90.00 90.00
Space group Immm (No. 71)
Symmetry-distinct sites (fractional):
Sm: 0.0000 0.0000 0.0984
Sm: 0.0000 0.0000 0.3003
Th: 0.0000 0.0000 0.5000
Te: 0.0000 0.5000 0.1018
Te: 0.0000 0.5000 0.3003
Te: 0.0000 0.5000 0.5000

## Properties
Crystal system: orthorhombic
Magnetization in μB/atom: 0.00
E_form (uncorrected) in kJ/mol of atoms: -125.3
Polymorph energy (0 for the lowest one) in eV per atom: 0.0025

=====

Repeat the fourth record exactly.
A plane-wave DFT calculation with PBE was carried out for a relaxed Sm4ThTe5 crystal.

a b c (Å): 4.4050 6.2962 22.4716
angles (deg): 90.00 90.00 90.00
Space group Immm (No. 71)
Symmetry-distinct sites (fractional):
Sm: 0.0000 0.0000 0.0984
Sm: 0.0000 0.0000 0.3003
Th: 0.0000 0.0000 0.5000
Te: 0.0000 0.5000 0.1018
Te: 0.0000 0.5000 0.3003
Te: 0.0000 0.5000 0.5000

## Properties
Crystal system: orthorhombic
Magnetization in μB/atom: 0.00
E_form (uncorrected) in kJ/mol of atoms: -125.3
Polymorph energy (0 for the lowest one) in eV per atom: 0.0025

=====

Question: Number 3 is which compound?
Answer: AlGeI3

=====

Copy entry 1 word for word.
A plane-wave DFT calculation with PBE was carried out for a relaxed MgOs2Se crystal.

a b c (Å): 4.3535 4.3535 3.1285
angles (deg): 90.00 90.00 90.00
Space group P4/mmm (No. 123)
Symmetry-distinct sites (fractional):
Mg: 0.0000 0.0000 0.0000
Os: 0.0000 0.5000 0.5000
Se: 0.5000 0.5000 0.0000

## Properties
Crystal system: tetragonal
Magnetization in μB/atom: 0.00
E_form (uncorrected) in kJ/mol of atoms: 55.3
Polymorph energy (0 for the lowest one) in eV per atom: 0.4298

=====

Question: Which value of polymorph energy (0 for the lowest one) does entry 4 give?
Answer: 0.0025 eV per atom